# 1
Entry from Alexandria via LeMat-Bulk: crystalline LaCu2W at its relaxed geometry (PBE).

The value obtained for the calculated volume is 18.13 Å³ per atom. The value obtained for the total moment is 0.000 μB per atom. Its offset from the most stable computed form is 299 meV/atom.

It has space group I-4m2 (No. 119), with a = 4.029 Å, b = 4.029 Å, c = 8.933 Å, α = 90.00°, β = 90.00° and γ = 90.00°. The distinct sites, in fractional coordinates, are La at (0.000, 0.000, 0.000), Cu at (0.000, 0.000, 0.500), Cu at (0.000, 0.500, 0.250) and W at (0.000, 0.500, 0.750).

# 2
Entry from Alexandria via LeMat-Bulk: crystalline MnP2Pb at its relaxed geometry (PBE).

The value obtained for the calculated volume is 23.90 Å³ per atom. The value obtained for the total moment is 0.758 μB per atom. For the calculated total energy, the calculation gives -23.3 eV/cell.

It has space group Pm (No. 6), with a = 4.231 Å, b = 4.227 Å, c = 5.345 Å, α = 90.00°, β = 90.08° and γ = 90.00°. The distinct sites, in fractional coordinates, are Mn at (0.000, 0.000, 0.000), P at (0.000, 0.500, 0.167), P at (0.500, 0.000, 0.833) and Pb at (0.501, 0.500, 0.500).

# 3
Entry from Alexandria via LeMat-Bulk: crystalline Th2MnNi9 at its relaxed geometry (PBE).

The value obtained for the calculated volume is 14.45 Å³ per atom. The value obtained for the total moment is 0.433 μB per atom. For the calculated total energy, the calculation gives -235.2 eV/cell.

It has space group R-3m (No. 166, hexagonal axes), with a = 4.9312 Å, b = 4.9312 Å, c = 24.7004 Å, α = 90.00°, β = 90.00° and γ = 120.00°. The distinct sites, in fractional coordinates, are Th at (0.0000, 0.0000, 0.1321), Mn at (0.0000, 0.0000, 0.0000), Ni at (0.0000, 0.0000, 0.3331), Ni at (0.0000, 0.0000, 0.5000) and Ni at (0.0010, 0.5005, 0.9201).